Record 1
Compound: Mn3CoPb
Source: Alexandria
Functional: PBE
Structure: optimized geometry

Output
The energy above the lowest structure with this stoichiometry comes out at 0 meV per atom. The uncorrected energy is -34.8 eV per cell. The crystal system is cubic. Its space-group type is Pm-3m (221).

Unit cell a=4.5900 b=4.5900 c=4.5900 alpha=90.00 beta=90.00 gamma=90.00
Last column: magnetic moment on the atom in μB.
Atoms (fractional coordinates):
Pb (0.5000, 0.5000, 0.5000)  -0.07
Mn (0.0000, 0.0000, 0.5000)  3.77
Mn (0.0000, 0.5000, 0.0000)  3.70
Mn (0.5000, 0.0000, 0.0000)  3.77
Co (0.0000, 0.0000, 0.0000)  1.36

***

Record 2
Compound: MnCo2Pb
Source: Alexandria
Functional: PBE
Structure: optimized geometry

Output
The uncorrected energy is -25.7 eV per cell. The crystal system is tetragonal. Its space-group type is P4/mmm (123).

Unit cell a=3.1100 b=3.1133 c=6.7591 alpha=62.55 beta=90.00 gamma=90.00
Last column: magnetic moment on the atom in μB.
Atoms (fractional coordinates):
Co (0.0000, 0.9697, 0.0306)  0.99
Co (0.0000, 0.5303, 0.4694)  0.99
Pb (0.5000, 0.7500, 0.7500)  -0.02
Mn (0.5000, 0.2500, 0.2500)  3.17

***

Record 3
Compound: RbMnCo2Pb
Source: Alexandria
Functional: PBE
Structure: optimized geometry

Output
The uncorrected energy is -20.0 eV per cell. The crystal system is tetragonal. Its space-group type is P4/mmm (123).

Unit cell a=5.0311 b=5.0311 c=6.3809 alpha=90.00 beta=90.00 gamma=90.00
Last column: magnetic moment on the atom in μB.
Atoms (fractional coordinates):
Co (0.5000, 0.0000, 0.0000)  1.77
Co (0.0000, 0.5000, 0.0000)  1.77
Pb (0.0000, 0.0000, 0.0000)  -0.08
Mn (0.5000, 0.5000, 0.5000)  4.45
Rb (0.0000, 0.0000, 0.5000)  -0.01

***

Record 4
Compound: RbMnCoPb2
Source: Alexandria
Functional: PBE
Structure: optimized geometry

Output
The uncorrected energy is -21.6 eV per cell. The crystal system is tetragonal. Its space-group type is P4/mmm (123).

Unit cell a=5.2909 b=4.9154 c=5.2909 alpha=90.00 beta=90.00 gamma=90.00
Last column: magnetic moment on the atom in μB.
Atoms (fractional coordinates):
Pb (0.5000, 0.0000, 0.0000)  -0.10
Pb (0.0000, 0.0000, 0.5000)  -0.02
Rb (0.5000, 0.5000, 0.5000)  -0.01
Co (0.0000, 0.5000, 0.0000)  2.04
Mn (0.0000, 0.0000, 0.0000)  2.77

***

Record 5
Compound: ZrMn2CoPb
Source: Alexandria
Functional: PBE
Structure: optimized geometry

Output
The uncorrected energy is -29.5 eV per cell. The crystal system is tetragonal. Its space-group type is P4/mmm (123).

Unit cell a=4.7420 b=5.5737 c=4.7420 alpha=90.00 beta=90.00 gamma=90.00
Last column: magnetic moment on the atom in μB.
Atoms (fractional coordinates):
Zr (0.0000, 0.0000, 0.0000)  -0.63
Co (0.5000, 0.5000, 0.5000)  1.99
Mn (0.0000, 0.0000, 0.5000)  2.95
Mn (0.5000, 0.0000, 0.0000)  3.48
Pb (0.0000, 0.5000, 0.0000)  -0.03

***

Record 6
Compound: MnCo2Pd
Source: Alexandria
Functional: PBE
Structure: optimized geometry

Output
The uncorrected energy is -52.7 eV per cell. The crystal system is tetragonal. Its space-group type is I-42d (122).

Unit cell a=6.3566 b=6.3566 c=5.1592 alpha=51.97 beta=51.97 gamma=90.00
Atoms (fractional coordinates):
Co (0.3750, 0.4203, 0.7500)
Co (0.8750, 0.8297, 0.7500)
Co (0.1703, 0.6250, 0.2500)
Co (0.5797, 0.1250, 0.2500)
Mn (0.5000, 0.5000, 0.0000)
Mn (0.2500, 0.7500, 0.5000)
Pd (0.7500, 0.2500, 0.5000)
Pd (0.0000, 0.0000, 0.0000)

***

Record 7
Compound: Mn2Co2Pd
Source: Alexandria
Functional: PBE
Structure: optimized geometry

Output
The energy above the lowest structure with this stoichiometry comes out at 0 meV per atom. The uncorrected energy is -74.0 eV per cell. The crystal system is tetragonal. Its space-group type is P4/mbm (127).

Unit cell a=6.7510 b=6.7510 c=2.6886 alpha=90.00 beta=90.00 gamma=90.00
Last column: magnetic moment on the atom in μB.
Atoms (fractional coordinates):
Pd (0.0000, 0.0000, 0.0000)  0.14
Pd (0.5000, 0.5000, 0.0000)  0.14
Co (0.1274, 0.3726, 0.0000)  0.01
Co (0.8726, 0.6274, 0.0000)  0.01
Co (0.3726, 0.8726, 0.0000)  0.04
Co (0.6274, 0.1274, 0.0000)  0.04
Mn (0.1666, 0.6666, 0.5000)  2.39
Mn (0.3334, 0.1666, 0.5000)  2.37
Mn (0.8334, 0.3334, 0.5000)  2.39
Mn (0.6666, 0.8334, 0.5000)  2.37

***

Record 8
Compound: MnCo2Pd2
Source: Alexandria
Functional: PBE
Structure: optimized geometry

Output
The uncorrected energy is -63.9 eV per cell. The crystal system is tetragonal. Its space-group type is P4/mbm (127).

Unit cell a=5.7930 b=5.7930 c=3.9392 alpha=90.00 beta=90.00 gamma=90.00
Last column: magnetic moment on the atom in μB.
Atoms (fractional coordinates):
Pd (0.8292, 0.3292, 0.5000)  0.13
Pd (0.3292, 0.1708, 0.5000)  0.14
Pd (0.1708, 0.6708, 0.5000)  0.13
Pd (0.6708, 0.8292, 0.5000)  0.14
Co (0.3655, 0.8655, 0.0000)  1.16
Co (0.8655, 0.6345, 0.0000)  1.18
Co (0.6345, 0.1345, 0.0000)  1.16
Co (0.1345, 0.3655, 0.0000)  1.18
Mn (0.0000, 0.0000, 0.0000)  -0.54
Mn (0.5000, 0.5000, 0.0000)  -0.54

***

Record 9
Compound: Mn2Co2Pd
Source: Alexandria
Functional: PBE
Structure: optimized geometry

Output
The energy above the lowest structure with this stoichiometry comes out at 74 meV per atom. The uncorrected energy is -73.3 eV per cell. The crystal system is tetragonal. Its space-group type is P4/mbm (127).

Unit cell a=6.8136 b=6.8136 c=2.5352 alpha=90.00 beta=90.00 gamma=90.00
Last column: magnetic moment on the atom in μB.
Atoms (fractional coordinates):
Mn (0.8813, 0.6187, 0.0000)  0.00
Mn (0.6187, 0.1187, 0.0000)  0.00
Mn (0.3813, 0.8813, 0.0000)  0.00
Mn (0.1187, 0.3813, 0.0000)  0.00
Co (0.8297, 0.3297, 0.5000)  0.21
Co (0.1703, 0.6703, 0.5000)  0.21
Co (0.3297, 0.1703, 0.5000)  0.21
Co (0.6703, 0.8297, 0.5000)  0.21
Pd (0.5000, 0.5000, 0.0000)  0.03
Pd (0.0000, 0.0000, 0.0000)  0.03

***

Record 10
Compound: MnCoPd2
Source: Alexandria
Functional: PBE
Structure: optimized geometry

Output
The uncorrected energy is -47.6 eV per cell. The crystal system is tetragonal. Its space-group type is I-42d (122).

Unit cell a=6.6905 b=6.6905 c=5.4066 alpha=51.78 beta=51.78 gamma=90.00
Last column: magnetic moment on the atom in μB.
Atoms (fractional coordinates):
Pd (0.3750, 0.3802, 0.7500)  0.09
Pd (0.8750, 0.8698, 0.7500)  0.09
Pd (0.6198, 0.1250, 0.2500)  0.09
Pd (0.1302, 0.6250, 0.2500)  0.09
Mn (0.5000, 0.5000, 0.0000)  -0.14
Mn (0.2500, 0.7500, 0.5000)  -0.14
Co (0.7500, 0.2500, 0.5000)  1.68
Co (0.0000, 0.0000, 0.0000)  1.68

***

Record 11
Compound: Mn4CoPd3
Source: Alexandria
Functional: PBE
Structure: optimized geometry

Output
The uncorrected energy is -60.3 eV per cell. The crystal system is tetragonal. Its space-group type is P4/mmm (123).

Unit cell a=2.9363 b=2.9363 c=13.2815 alpha=90.00 beta=90.00 gamma=90.00
Last column: magnetic moment on the atom in μB.
Atoms (fractional coordinates):
Pd (0.5000, 0.5000, 0.2368)  0.35
Pd (0.5000, 0.5000, 0.5000)  0.32
Pd (0.5000, 0.5000, 0.7632)  0.35
Mn (0.0000, 0.0000, 0.6325)  3.90
Mn (0.0000, 0.0000, 0.3675)  3.90
Mn (0.0000, 0.0000, 0.8936)  3.49
Mn (0.0000, 0.0000, 0.1064)  3.49
Co (0.5000, 0.5000, 0.0000)  1.44

***

Record 12
Compound: MnCo2Pd
Source: Alexandria
Functional: PBE
Structure: optimized geometry

Output
The uncorrected energy is -27.9 eV per cell. The crystal system is cubic. Its space-group type is Fm-3m (225).

Unit cell a=4.1842 b=4.1842 c=4.1842 alpha=60.00 beta=60.00 gamma=60.00
Last column: magnetic moment on the atom in μB.
Atoms (fractional coordinates):
Mn (0.0000, 0.0000, 0.0000)  3.30
Co (0.7500, 0.7500, 0.7500)  1.73
Co (0.2500, 0.2500, 0.2500)  1.73
Pd (0.5000, 0.5000, 0.5000)  0.32

***

The calculated formation energy results, record by record, are as follows: 0.712; 0.344; 1.611; 0.609; 1.636; 0.551; 0.146; 0.365; 0.220; 0.721; -0.120; 0.160 eV per atom.